Below is MgTlRe2Sb at its PBEsol-relaxed geometry, with properties calculated at the meta-GGA SCAN level.

Output
ΔE_f (raw) ... 9.3 eV/f.u.

Lattice parameters (Å, degrees): 4.932 4.932 5.109 90.00 90.00 90.00
Space group P4/mmm (No. 123)
Asymmetric unit:
Mg: 0.000 0.000 0.000
Tl: 0.500 0.500 0.000
Re: 0.000 0.500 0.500
Sb: 0.000 0.000 0.500

=====

Below is Mg2ScRe at its PBEsol-relaxed geometry, with properties calculated at the meta-GGA SCAN level.

Output
Calculated formation energy ... 0.208 eV/atom
Relative energy among the computed polymorphs ... 0.0 meV per atom

Lattice parameters (Å, degrees): 4.001 4.001 4.508 90.00 90.00 90.00
Space group P4/mmm (No. 123)
Asymmetric unit:
Mg: 0.000 0.500 0.000
Sc: 0.000 0.000 0.500
Re: 0.500 0.500 0.500

=====

Below is Mg2ScRe at its PBEsol-relaxed geometry, with properties calculated at the meta-GGA SCAN level.

Output
Calculated formation energy ... 0.236 eV/atom
Relative energy among the computed polymorphs ... 28.1 meV per atom

Lattice parameters (Å, degrees): 3.150 4.976 9.561 90.00 90.00 90.00
Space group Imm2 (No. 44)
Asymmetric unit:
Mg: 0.000 0.000 0.000
Mg: 0.000 0.500 0.235
Sc: 0.000 0.000 0.450
Re: 0.000 0.500 0.731

=====

Below is MgScRe at its PBEsol-relaxed geometry, with properties calculated at the meta-GGA SCAN level.

Output
Calculated formation energy ... 0.777 eV/atom

Lattice parameters (Å, degrees): 6.316 6.316 6.316 90.00 90.00 90.00
Space group F-43m (No. 216)
Asymmetric unit:
Mg: 0.000 0.000 0.000
Sc: 0.000 0.000 0.500
Re: 0.250 0.250 0.250

=====

Below is MgScRe2 at its PBEsol-relaxed geometry, with properties calculated at the meta-GGA SCAN level.

Output
Calculated formation energy ... -0.077 eV/atom

Lattice parameters (Å, degrees): 3.072 3.072 7.367 90.00 90.00 90.00
Space group P4mm (No. 99)
Asymmetric unit:
Mg: 0.000 0.000 0.000
Sc: 0.500 0.500 0.682
Re: 0.000 0.000 0.434
Re: 0.500 0.500 0.241

=====

Below is Mg2ReSe at its PBEsol-relaxed geometry, with properties calculated at the meta-GGA SCAN level.

Output
ΔE_f (raw) ... 2.2 eV/f.u.

Lattice parameters (Å, degrees): 6.451 6.451 6.451 90.00 90.00 90.00
Space group F-43m (No. 216)
Asymmetric unit:
Mg: 0.000 0.000 0.000
Mg: 0.250 0.250 0.250
Re: 0.000 0.000 0.500
Se: 0.250 0.250 0.750